(1)
Entry from Alexandria: a relaxed structure of VZnSn (PBE).

a b c (Å): 2.943 4.534 4.534
angles (deg): 120.00 90.00 90.00
Site moments in Bohr magnetons follow the coordinates.
Fractional positions:
1 V 0.333 0.333 0.667  1.57
2 Zn 0.835 0.000 0.000  -0.03
3 Sn 0.832 0.667 0.333  -0.07

Computed properties:
The calculation puts the total energy at -4.53 eV/atom. For the energy relative to the elements, the calculation gives 0.268 eV/atom.



(2)
Entry from Alexandria: a relaxed structure of V2Zn2Sn (PBE).

a b c (Å): 3.592 3.592 7.157
angles (deg): 75.47 75.47 90.00
Fractional positions:
1 V 0.750 0.250 0.500
2 V 0.250 0.750 0.500
3 Zn 0.601 0.601 0.799
4 Zn 0.399 0.399 0.201
5 Sn 0.000 0.000 0.000

Computed properties:
The calculation puts the total energy at -4.54 eV/atom. For the energy relative to the elements, the calculation gives 0.420 eV/atom.



(3)
Entry from Alexandria: a relaxed structure of V2ZnSn2 (PBE).

a b c (Å): 6.683 6.683 4.049
angles (deg): 90.00 90.00 90.00
Site moments in Bohr magnetons follow the coordinates.
Fractional positions:
1 Zn 0.500 0.500 0.000  0.01
2 Zn 0.000 0.000 0.000  0.01
3 Sn 0.330 0.170 0.500  -0.02
4 Sn 0.830 0.330 0.500  -0.02
5 Sn 0.170 0.670 0.500  -0.02
6 Sn 0.670 0.830 0.500  -0.02
7 V 0.631 0.131 0.000  0.40
8 V 0.369 0.869 0.000  0.40
9 V 0.131 0.369 0.000  0.40
10 V 0.869 0.631 0.000  0.40

Computed properties:
The calculation puts the total energy at -5.38 eV/atom. For the energy relative to the elements, the calculation gives 0.128 eV/atom.



(4)
Entry from Alexandria: a relaxed structure of VZn3Sn (PBE).

a b c (Å): 4.892 4.892 4.892
angles (deg): 90.00 90.00 90.00
Site moments in Bohr magnetons follow the coordinates.
Fractional positions:
1 Zn 0.000 0.000 0.500  0.07
2 Zn 0.500 0.000 0.000  0.07
3 Zn 0.000 0.500 0.000  0.07
4 Sn 0.500 0.500 0.500  -0.11
5 V 0.000 0.000 0.000  2.38

Computed properties:
The calculation puts the total energy at -2.65 eV/atom. For the energy relative to the elements, the calculation gives 0.742 eV/atom.



(5)
Entry from Alexandria: a relaxed structure of V2Zn2Sn (PBE).

a b c (Å): 6.838 6.838 3.577
angles (deg): 90.00 90.00 90.00
Site moments in Bohr magnetons follow the coordinates.
Fractional positions:
1 Zn 0.821 0.321 0.500  0.01
2 Zn 0.179 0.679 0.500  0.01
3 Zn 0.679 0.821 0.500  0.01
4 Zn 0.321 0.179 0.500  0.01
5 V 0.613 0.113 0.000  0.35
6 V 0.887 0.613 0.000  0.35
7 V 0.113 0.387 0.000  0.35
8 V 0.387 0.887 0.000  0.35
9 Sn 0.000 0.000 0.000  0.00
10 Sn 0.500 0.500 0.000  0.00

Computed properties:
The calculation puts the total energy at -4.72 eV/atom. For the energy relative to the elements, the calculation gives 0.240 eV/atom.



(6)
Entry from Alexandria: a relaxed structure of VZnSn (PBE).

a b c (Å): 3.439 3.439 5.233
angles (deg): 109.18 109.18 90.00
Site moments in Bohr magnetons follow the coordinates.
Fractional positions:
1 Sn 0.001 0.001 0.002  0.00
2 V 0.675 0.675 0.351  2.31
3 Zn 0.324 0.324 0.648  0.05

Computed properties:
The calculation puts the total energy at -4.57 eV/atom. For the energy relative to the elements, the calculation gives 0.230 eV/atom.



(7)
Entry from Alexandria: a relaxed structure of VZnSn2 (PBE).

a b c (Å): 3.235 3.235 9.625
angles (deg): 80.33 80.33 60.00
Site moments in Bohr magnetons follow the coordinates.
Fractional positions:
1 Sn 0.907 0.907 0.280  -0.01
2 Sn 0.093 0.093 0.720  -0.01
3 V 0.500 0.500 0.500  1.00
4 Zn 0.000 0.000 0.000  0.00

Computed properties:
The calculation puts the total energy at -4.38 eV/atom. For the energy relative to the elements, the calculation gives 0.222 eV/atom.



(8)
Entry from Alexandria: a relaxed structure of VZnSn2 (PBE).

a b c (Å): 7.657 7.657 6.184
angles (deg): 51.75 51.75 90.00
Site moments in Bohr magnetons follow the coordinates.
Fractional positions:
1 Zn 0.000 0.000 0.000  0.00
2 Zn 0.750 0.250 0.500  0.00
3 Sn 0.875 0.886 0.750  -0.02
4 Sn 0.636 0.125 0.250  -0.02
5 Sn 0.375 0.364 0.750  -0.02
6 Sn 0.114 0.625 0.250  -0.02
7 V 0.500 0.500 0.000  2.37
8 V 0.250 0.750 0.500  2.37

Computed properties:
The calculation puts the total energy at -4.15 eV/atom. For the energy relative to the elements, the calculation gives 0.451 eV/atom.



Repeat the second record exactly.
Entry from Alexandria: a relaxed structure of V2Zn2Sn (PBE).

a b c (Å): 3.592 3.592 7.157
angles (deg): 75.47 75.47 90.00
Fractional positions:
1 V 0.750 0.250 0.500
2 V 0.250 0.750 0.500
3 Zn 0.601 0.601 0.799
4 Zn 0.399 0.399 0.201
5 Sn 0.000 0.000 0.000

Computed properties:
The calculation puts the total energy at -4.54 eV/atom. For the energy relative to the elements, the calculation gives 0.420 eV/atom.